## Na2CoSiCO7 (PBE with a Hubbard U)

Data for an optimized crystal structure of Na2CoSiCO7.

Calculated values
* D(E_F): 1.83 states/eV/f.u.
* E_tot: -6.4347 eV per atom

a = 6.3025 Å, b = 10.3373 Å, c = 9.5254 Å
α = 90.31°, β = 90.00°, γ = 90.00°
Last column: nearest neighbours and their distance in Å.
Atoms (fractional coordinates):
Na  0.0043  0.1312  0.2327  6 O 2.34-2.58
Na  0.0000  0.6115  0.2441  5 O 2.26-2.45
Na  0.4957  0.1312  0.2327  6 O 2.34-2.58
Na  0.5000  0.6115  0.2441  5 O 2.26-2.45
Na  0.5000  0.3885  0.7558  5 O 2.26-2.45
Na  0.5043  0.8688  0.7673  6 O 2.34-2.58
Na  0.0000  0.3885  0.7558  5 O 2.26-2.45
Na  0.9957  0.8688  0.7673  6 O 2.34-2.58
Co  0.7500  0.9082  0.3534  5 O 1.86-2.01
Co  0.2500  0.0918  0.6466  5 O 1.86-2.01
Co  0.7500  0.3894  0.3972  4 O 1.89-1.92
Co  0.2500  0.6106  0.6028  4 O 1.89-1.92
Si  0.2500  0.3350  0.4383  4 O 1.64-1.66
Si  0.2500  0.8529  0.4241  4 O 1.63-1.66
Si  0.7500  0.1471  0.5759  4 O 1.63-1.66
Si  0.7500  0.6650  0.5617  4 O 1.64-1.66
C  0.7500  0.3701  0.0585  3 O 1.28
C  0.7500  0.8621  0.0839  3 O 1.26-1.32
C  0.2500  0.1379  0.9161  3 O 1.26-1.32
C  0.2500  0.6299  0.9415  3 O 1.28
O  0.2500  0.1353  0.0485  1 C 1.26
O  0.2500  0.6122  0.0743  1 C 1.28
O  0.7500  0.3878  0.9257  1 C 1.28
O  0.7500  0.8647  0.9515  1 C 1.26
O  0.7500  0.4669  0.1428  1 C 1.28
O  0.7500  0.9724  0.1552  1 C 1.32
O  0.2500  0.0276  0.8449  1 C 1.32
O  0.2500  0.5331  0.8572  1 C 1.28
O  0.7500  0.2550  0.1069  1 C 1.28
O  0.7500  0.7595  0.1594  1 C 1.28
O  0.2500  0.2405  0.8405  1 C 1.28
O  0.2500  0.7450  0.8931  1 C 1.28
O  0.7500  0.0949  0.4140  1 Si 1.63
O  0.7500  0.5736  0.4210  1 Si 1.64
O  0.2500  0.4263  0.5790  1 Si 1.64
O  0.2500  0.9051  0.5860  1 Si 1.63
O  0.2500  0.1775  0.4733  1 Si 1.66
O  0.2500  0.6919  0.4216  1 Si 1.66
O  0.7500  0.3081  0.5784  1 Si 1.66
O  0.7500  0.8225  0.5267  1 Si 1.66
O  0.0341  0.3593  0.3432  1 Si 1.65
O  0.0428  0.9031  0.3325  1 Si 1.66
O  0.4659  0.3593  0.3432  1 Si 1.65
O  0.4572  0.9031  0.3325  1 Si 1.66
O  0.5428  0.0968  0.6675  1 Si 1.66
O  0.5341  0.6406  0.6568  1 Si 1.66
O  0.9572  0.0968  0.6675  1 Si 1.66
O  0.9659  0.6406  0.6568  1 Si 1.66